Crystalline SrSb2WS at its relaxed geometry. Source: Alexandria via LeMat-Bulk, functional PBE.

Output
Spin magnetization ... 1.2 Bohr magnetons per cell
Fermi-level density of states ... 0.624 states/eV per atom
Uncorrected formation energy ... 1.7 eV per formula unit

Unit cell a=5.5627 b=5.5627 c=4.4333 alpha=90.00 beta=90.00 gamma=90.00
With the nearest neighbours (Å) after each atom.
Space group P4/mmm (No. 123)
Asymmetric unit:
Sr 0.0000 0.0000 0.0000  8 Sb 3.56, 4 W 3.93
Sb 0.0000 0.5000 0.5000  2 S 2.78
W 0.5000 0.5000 0.0000  2 S 2.22
S 0.5000 0.5000 0.5000  2 W 2.22

Crystalline Sr2YSbS at its relaxed geometry. Source: Alexandria via LeMat-Bulk, functional PBE.

Output
Spin magnetization ... 0.3 Bohr magnetons per cell
Fermi-level density of states ... 0.889 states/eV per atom
Uncorrected formation energy ... -0.6 eV per formula unit

Unit cell a=6.7211 b=6.7211 c=4.9110 alpha=90.00 beta=90.00 gamma=90.00
With the nearest neighbours (Å) after each atom.
Space group P4/mmm (No. 123)
Asymmetric unit:
Sr 0.0000 0.5000 0.0000  2 Y 3.36
Y 0.0000 0.0000 0.0000  2 S 2.46
Sb 0.5000 0.5000 0.5000  8 Sr 4.16
S 0.0000 0.0000 0.5000  2 Y 2.46

Crystalline Sr2ZnSbS5 at its relaxed geometry. Source: Alexandria via LeMat-Bulk, functional PBE.

Output
Spin magnetization ... 0.0 Bohr magnetons per cell
Fermi-level density of states ... 0.401 states/eV per atom
Uncorrected formation energy ... -10.3 eV per formula unit

Unit cell a=3.9971 b=17.4710 c=12.4337 alpha=90.00 beta=90.00 gamma=90.00
With the nearest neighbours (Å) after each atom.
Space group Cmc2_1 (No. 36)
Asymmetric unit:
Sr 0.0000 0.0968 0.0000  6 S 2.94-3.21
Sr 0.0000 0.1238 0.6374  7 S 2.97-3.19
Zn 0.0000 0.4381 0.7694  4 S 2.28-2.55
Sb 0.0000 0.2191 0.3537  6 S 2.54-2.75
S 0.0000 0.0624 0.3719  2 Zn 2.37
S 0.0000 0.2719 0.0008  2 Sb 2.71
S 0.0000 0.2983 0.7113  1 Zn 2.55, 2 Sb 2.69
S 0.0000 0.3632 0.3264  1 Sb 2.54
S 0.0000 0.5002 0.1076  1 Zn 2.28

Crystalline TaSbS2 at its relaxed geometry. Source: Alexandria via LeMat-Bulk, functional PBE.

Output
Spin magnetization ... 0.0 Bohr magnetons per cell
Fermi-level density of states ... 0.507 states/eV per atom
Uncorrected formation energy ... -2.6 eV per formula unit

Unit cell a=3.3407 b=3.3407 c=26.5541 alpha=90.00 beta=90.00 gamma=120.00
With the nearest neighbours (Å) after each atom.
Space group R-3m (No. 166, hexagonal axes)
Asymmetric unit:
Ta 0.0000 0.0000 0.0000  6 S 2.49
Sb 0.0000 0.0000 0.5000  2 S 2.85
S 0.0000 0.0000 0.3925  3 Ta 2.49